Record 1
Compound: HfCdPd3
Source: Alexandria
Functional: PBE-GGA
Structure: optimized geometry

Summary:
Excess energy over the best structure of this formula in the dataset (meV per atom): 0
Calculated formation energy (meV per atom): -519
E_tot (eV per atom): -5.81

abc: 4.348 5.566 7.759
angles: 90.00 90.00 90.00
Atoms (fractional coordinates):
Hf 0.750 0.250 0.063
Hf 0.250 0.750 0.937
Cd 0.750 0.250 0.451
Cd 0.250 0.750 0.549
Pd 0.250 0.487 0.242
Pd 0.750 0.513 0.758
Pd 0.250 0.013 0.242
Pd 0.750 0.987 0.758
Pd 0.250 0.250 0.845
Pd 0.750 0.750 0.155



Record 2
Compound: Hf2CdPd3
Source: Alexandria
Functional: PBE-GGA
Structure: optimized geometry

Summary:
Excess energy over the best structure of this formula in the dataset (meV per atom): 0
Calculated formation energy (meV per atom): -613
E_tot (eV per atom): -6.68

abc: 3.339 3.339 9.864
angles: 90.00 90.00 90.00
Atoms (fractional coordinates):
Hf 0.500 0.500 0.830
Hf 0.500 0.500 0.170
Cd 0.500 0.500 0.500
Pd 0.000 0.000 0.000
Pd 0.000 0.000 0.680
Pd 0.000 0.000 0.320



Record 3
Compound: HfCd3Pd
Source: Alexandria
Functional: PBE-GGA
Structure: optimized geometry

Summary:
Excess energy over the best structure of this formula in the dataset (meV per atom): 652
Calculated formation energy (meV per atom): 1188
E_tot (eV per atom): -2.39

abc: 5.499 5.499 5.499
angles: 90.00 90.00 90.00
Atoms (fractional coordinates):
Hf 0.000 0.000 0.000
Pd 0.500 0.500 0.500
Cd 0.000 0.500 0.000
Cd 0.000 0.000 0.500
Cd 0.500 0.000 0.000



Record 4
Compound: HfCdPd3
Source: Alexandria
Functional: PBE-GGA
Structure: optimized geometry

Summary:
Excess energy over the best structure of this formula in the dataset (meV per atom): 936
Calculated formation energy (meV per atom): 417
E_tot (eV per atom): -4.87

abc: 4.887 4.887 4.887
angles: 90.00 90.00 90.00
Atoms (fractional coordinates):
Hf 0.000 0.000 0.000
Pd 0.000 0.500 0.000
Pd 0.000 0.000 0.500
Pd 0.500 0.000 0.000
Cd 0.500 0.500 0.500